Material: RbTlIn2Cl4
Method: DFT, GGA-PBE
State: relaxed

D(E_F) in states/eV/f.u.: 0.0
Raw formation energy in eV/atom: -1.136
Volume in Å³ per atom: 34.70
E in eV per atom: -3.16

Structure (CIF):
```
data_RbTlIn2Cl4
_chemical_formula_sum 'Rb1 Tl1 In2 Cl4'
_cell_length_a 7.979
_cell_length_b 4.619
_cell_length_c 7.988
_cell_angle_alpha 90.00
_cell_angle_beta 109.44
_cell_angle_gamma 90.00
_symmetry_space_group_name_H-M 'P 1 2/m 1'
_symmetry_Int_Tables_number 10
_symmetry_space_group_name_Hall '-P 2y'
loop_
_atom_site_label
_atom_site_fract_x
_atom_site_fract_y
_atom_site_fract_z
Rb1 0.000 0.000 0.000
Tl1 0.000 0.500 0.500
In1 0.500 0.000 0.500
In2 0.500 0.500 0.000
Cl1 0.253 0.000 0.752
Cl2 0.254 0.500 0.251
```

***

Material: CsSrSbI2
Method: DFT, GGA-PBE
State: relaxed

D(E_F) in states/eV/f.u.: 1.5
Raw formation energy in eV/atom: -0.918
Offset from the most stable computed form in eV/atom: 0.000
Volume in Å³ per atom: 56.06
E in eV per atom: -2.87

Structure (CIF):
```
data_CsSrSbI2
_chemical_formula_sum 'Cs1 Sr1 Sb1 I2'
_cell_length_a 6.505
_cell_length_b 6.505
_cell_length_c 6.623
_cell_angle_alpha 90.00
_cell_angle_beta 90.00
_cell_angle_gamma 90.00
_symmetry_space_group_name_H-M 'P 4/m m m'
_symmetry_Int_Tables_number 123
_symmetry_space_group_name_Hall '-P 4 2'
loop_
_atom_site_label
_atom_site_fract_x
_atom_site_fract_y
_atom_site_fract_z
Cs1 0.000 0.000 0.000
Sr1 0.500 0.500 0.500
Sb1 0.500 0.500 0.000
I1 0.000 0.500 0.500
```

***

Material: La2SmYEr2
Method: DFT, GGA-PBE
State: relaxed

Energy of formation from the pure elements in meV per atom: 64
D(E_F) in states/eV/f.u.: 10.1
Volume in Å³ per atom: 33.58
E in eV per atom: -4.96

Structure (CIF):
```
data_La2SmYEr2
_chemical_formula_sum 'La4 Sm2 Y2 Er4'
_cell_length_a 7.127
_cell_length_b 5.720
_cell_length_c 9.887
_cell_angle_alpha 90.00
_cell_angle_beta 90.00
_cell_angle_gamma 90.00
_symmetry_space_group_name_H-M 'P m m a'
_symmetry_Int_Tables_number 51
_symmetry_space_group_name_Hall '-P 2a 2a'
loop_
_atom_site_label
_atom_site_fract_x
_atom_site_fract_y
_atom_site_fract_z
La1 0.000 0.000 0.000
La2 0.250 0.500 0.177
Sm1 0.250 0.000 0.660
Y1 0.000 0.500 0.500
Er1 0.250 0.000 0.335
Er2 0.250 0.500 0.834
```

***

Material: LiTl2VCl5
Method: DFT, GGA-PBE
State: relaxed

Raw formation energy in eV/atom: -1.222
Volume in Å³ per atom: 26.83
E in eV per atom: -4.00

Structure (CIF):
```
data_LiTl2VCl5
_chemical_formula_sum 'Li4 Tl8 V4 Cl20'
_cell_length_a 3.889
_cell_length_b 18.209
_cell_length_c 13.641
_cell_angle_alpha 90.00
_cell_angle_beta 90.00
_cell_angle_gamma 90.00
_symmetry_space_group_name_H-M 'C m c 21'
_symmetry_Int_Tables_number 36
_symmetry_space_group_name_Hall 'C 2c -2'
loop_
_atom_site_label
_atom_site_fract_x
_atom_site_fract_y
_atom_site_fract_z
Li1 0.000 0.070 0.000
Tl1 0.000 0.370 0.857
Tl2 0.000 0.404 0.215
V1 0.000 0.287 0.575
Cl1 0.000 0.004 0.854
Cl2 0.000 0.153 0.546
Cl3 0.000 0.198 0.956
Cl4 0.000 0.226 0.193
Cl5 0.000 0.425 0.599
```

***

Material: BaMn2CuRe
Method: DFT, GGA-PBE
State: relaxed

Energy of formation from the pure elements in meV per atom: 725
D(E_F) in states/eV/f.u.: 3.4
Volume in Å³ per atom: 23.11
E in eV per atom: -6.64

Structure (CIF):
```
data_BaMn2CuRe
_chemical_formula_sum 'Ba1 Mn2 Cu1 Re1'
_cell_length_a 4.760
_cell_length_b 4.760
_cell_length_c 5.100
_cell_angle_alpha 90.00
_cell_angle_beta 90.00
_cell_angle_gamma 90.00
_symmetry_space_group_name_H-M 'P 4/m m m'
_symmetry_Int_Tables_number 123
_symmetry_space_group_name_Hall '-P 4 2'
loop_
_atom_site_label
_atom_site_fract_x
_atom_site_fract_y
_atom_site_fract_z
Ba1 0.000 0.000 0.000
Mn1 0.000 0.500 0.500
Cu1 0.500 0.500 0.000
Re1 0.500 0.500 0.500
```

***

Material: KZrMo2
Method: DFT, GGA-PBE
State: relaxed

Energy of formation from the pure elements in meV per atom: 760
D(E_F) in states/eV/f.u.: 4.3
Offset from the most stable computed form in eV/atom: 0.206
Volume in Å³ per atom: 25.98
E in eV per atom: -7.07

Structure (CIF):
```
data_KZrMo2
_chemical_formula_sum 'K1 Zr1 Mo2'
_cell_length_a 2.828
_cell_length_b 4.871
_cell_length_c 7.624
_cell_angle_alpha 90.00
_cell_angle_beta 98.26
_cell_angle_gamma 90.00
_symmetry_space_group_name_H-M 'P 1 2/m 1'
_symmetry_Int_Tables_number 10
_symmetry_space_group_name_Hall '-P 2y'
loop_
_atom_site_label
_atom_site_fract_x
_atom_site_fract_y
_atom_site_fract_z
K1 0.000 0.000 0.000
Zr1 0.000 0.000 0.500
Mo1 0.446 0.500 0.648
```

***

Material: Zr2MnInAg
Method: DFT, GGA-PBE
State: relaxed

Energy of formation from the pure elements in meV per atom: 399
D(E_F) in states/eV/f.u.: 6.0
Volume in Å³ per atom: 21.24
E in eV per atom: -5.97

Structure (CIF):
```
data_Zr2MnInAg
_chemical_formula_sum 'Zr2 Mn1 In1 Ag1'
_cell_length_a 4.673
_cell_length_b 4.673
_cell_length_c 4.863
_cell_angle_alpha 90.00
_cell_angle_beta 90.00
_cell_angle_gamma 90.00
_symmetry_space_group_name_H-M 'P 4/m m m'
_symmetry_Int_Tables_number 123
_symmetry_space_group_name_Hall '-P 4 2'
loop_
_atom_site_label
_atom_site_fract_x
_atom_site_fract_y
_atom_site_fract_z
Zr1 0.000 0.500 0.000
Mn1 0.000 0.000 0.000
In1 0.500 0.500 0.500
Ag1 0.000 0.000 0.500
```

***

Material: AlTc2Ru
Method: DFT, GGA-PBE
State: relaxed

Energy of formation from the pure elements in meV per atom: -161
D(E_F) in states/eV/f.u.: 3.2
Offset from the most stable computed form in eV/atom: 0.089
Volume in Å³ per atom: 14.39
E in eV per atom: -8.60

Structure (CIF):
```
data_AlTc2Ru
_chemical_formula_sum 'Al2 Tc4 Ru2'
_cell_length_a 9.139
_cell_length_b 2.885
_cell_length_c 4.621
_cell_angle_alpha 90.00
_cell_angle_beta 109.09
_cell_angle_gamma 90.00
_symmetry_space_group_name_H-M 'C 1 m 1'
_symmetry_Int_Tables_number 8
_symmetry_space_group_name_Hall 'C -2y'
loop_
_atom_site_label
_atom_site_fract_x
_atom_site_fract_y
_atom_site_fract_z
Al1 0.000 0.000 0.000
Tc1 0.240 0.000 0.644
Tc2 0.492 0.000 0.501
Ru1 0.245 0.500 0.131
```

***

Material: BeAlS2Cl
Method: DFT, GGA-PBE
State: relaxed

D(E_F) in states/eV/f.u.: 3.2
Raw formation energy in eV/atom: -0.014
Offset from the most stable computed form in eV/atom: 0.000
Volume in Å³ per atom: 17.02
E in eV per atom: -3.53

Structure (CIF):
```
data_BeAlS2Cl
_chemical_formula_sum 'Be1 Al1 S2 Cl1'
_cell_length_a 4.479
_cell_length_b 4.479
_cell_length_c 4.243
_cell_angle_alpha 90.00
_cell_angle_beta 90.00
_cell_angle_gamma 90.00
_symmetry_space_group_name_H-M 'P 4/m m m'
_symmetry_Int_Tables_number 123
_symmetry_space_group_name_Hall '-P 4 2'
loop_
_atom_site_label
_atom_site_fract_x
_atom_site_fract_y
_atom_site_fract_z
Be1 0.000 0.000 0.000
Al1 0.500 0.500 0.500
S1 0.000 0.500 0.000
Cl1 0.000 0.000 0.500
```

***

Material: TeAs
Method: DFT, GGA-PBE
State: relaxed

D(E_F) in states/eV/f.u.: 0.9
Raw formation energy in eV/atom: 0.119
Volume in Å³ per atom: 26.64
E in eV per atom: -3.78

Structure (CIF):
```
data_TeAs
_chemical_formula_sum 'Te2 As2'
_cell_length_a 4.394
_cell_length_b 4.094
_cell_length_c 6.212
_cell_angle_alpha 90.00
_cell_angle_beta 107.54
_cell_angle_gamma 90.00
_symmetry_space_group_name_H-M 'P 1 21/m 1'
_symmetry_Int_Tables_number 11
_symmetry_space_group_name_Hall '-P 2yb'
loop_
_atom_site_label
_atom_site_fract_x
_atom_site_fract_y
_atom_site_fract_z
Te1 0.160 0.250 0.274
As1 0.352 0.250 0.732
```

***

Material: CoPtPb
Method: DFT, GGA-PBE
State: relaxed

Energy of formation from the pure elements in meV per atom: 232
D(E_F) in states/eV/f.u.: 4.8
Offset from the most stable computed form in eV/atom: 0.000
Volume in Å³ per atom: 18.77
E in eV per atom: -5.39

Structure (CIF):
```
data_CoPtPb
_chemical_formula_sum 'Co4 Pt4 Pb4'
_cell_length_a 6.084
_cell_length_b 6.084
_cell_length_c 6.084
_cell_angle_alpha 90.00
_cell_angle_beta 90.00
_cell_angle_gamma 90.00
_symmetry_space_group_name_H-M 'F -4 3 m'
_symmetry_Int_Tables_number 216
_symmetry_space_group_name_Hall 'F -4 2 3'
loop_
_atom_site_label
_atom_site_fract_x
_atom_site_fract_y
_atom_site_fract_z
Co1 0.000 0.000 0.000
Pt1 0.250 0.250 0.750
Pb1 0.250 0.250 0.250
```

***

Material: Cd6Pd12Rh
Method: DFT, GGA-PBE
State: relaxed

Energy of formation from the pure elements in meV per atom: -149
D(E_F) in states/eV/f.u.: 14.1
Volume in Å³ per atom: 17.29
E in eV per atom: -4.10

Structure (CIF):
```
data_Cd6Pd12Rh
_chemical_formula_sum 'Cd18 Pd36 Rh3'
_cell_length_a 11.0573
_cell_length_b 11.0573
_cell_length_c 9.3062
_cell_angle_alpha 90.00
_cell_angle_beta 90.00
_cell_angle_gamma 120.00
_symmetry_space_group_name_H-M 'R -3 m'
_symmetry_Int_Tables_number 166
_symmetry_space_group_name_Hall '-R 3 2"'
loop_
_atom_site_label
_atom_site_fract_x
_atom_site_fract_y
_atom_site_fract_z
Cd1 0.0879 0.1758 0.2498
Pd1 0.0000 0.2583 0.5000
Pd2 0.0653 0.5326 0.6216
Rh1 0.0000 0.0000 0.5000
```

***

Material: RhC2
Method: DFT, GGA-PBE
State: relaxed

Energy of formation from the pure elements in meV per atom: 1048
D(E_F) in states/eV/f.u.: 1.1
Offset from the most stable computed form in eV/atom: 0.587
Volume in Å³ per atom: 9.69
E in eV per atom: -7.55

Structure (CIF):
```
data_RhC2
_chemical_formula_sum 'Rh4 C8'
_cell_length_a 5.056
_cell_length_b 4.451
_cell_length_c 5.165
_cell_angle_alpha 90.00
_cell_angle_beta 90.00
_cell_angle_gamma 90.00
_symmetry_space_group_name_H-M 'P n m a'
_symmetry_Int_Tables_number 62
_symmetry_space_group_name_Hall '-P 2ac 2n'
loop_
_atom_site_label
_atom_site_fract_x
_atom_site_fract_y
_atom_site_fract_z
Rh1 0.183 0.250 0.019
C1 0.098 0.250 0.424
C2 0.223 0.750 0.119
```

***

Material: SrZn2Sb
Method: DFT, GGA-PBE
State: relaxed

D(E_F) in states/eV/f.u.: 1.0
Raw formation energy in eV/atom: -0.157
Volume in Å³ per atom: 26.60
E in eV per atom: -2.25

Structure (CIF):
```
data_SrZn2Sb
_chemical_formula_sum 'Sr4 Zn8 Sb4'
_cell_length_a 7.522
_cell_length_b 7.522
_cell_length_c 7.522
_cell_angle_alpha 90.00
_cell_angle_beta 90.00
_cell_angle_gamma 90.00
_symmetry_space_group_name_H-M 'F -4 3 m'
_symmetry_Int_Tables_number 216
_symmetry_space_group_name_Hall 'F -4 2 3'
loop_
_atom_site_label
_atom_site_fract_x
_atom_site_fract_y
_atom_site_fract_z
Sr1 0.000 0.000 0.000
Zn1 0.000 0.000 0.500
Zn2 0.250 0.250 0.250
Sb1 0.250 0.250 0.750
```

***

Material: Sm5Sn3
Method: DFT, GGA-PBE
State: relaxed

Energy of formation from the pure elements in meV per atom: -657
D(E_F) in states/eV/f.u.: 8.8
Offset from the most stable computed form in eV/atom: 0.053
Volume in Å³ per atom: 30.31
E in eV per atom: -5.11

Structure (CIF):
```
data_Sm5Sn3
_chemical_formula_sum 'Sm20 Sn12'
_cell_length_a 8.288
_cell_length_b 8.288
_cell_length_c 14.121
_cell_angle_alpha 90.00
_cell_angle_beta 90.00
_cell_angle_gamma 90.00
_symmetry_space_group_name_H-M 'I 4/m c m'
_symmetry_Int_Tables_number 140
_symmetry_space_group_name_Hall '-I 4 2c'
loop_
_atom_site_label
_atom_site_fract_x
_atom_site_fract_y
_atom_site_fract_z
Sm1 0.000 0.000 0.000
Sm2 0.162 0.338 0.149
Sn1 0.000 0.000 0.250
Sn2 0.137 0.363 0.500
```

***

Material: ScP2PtCl
Method: DFT, GGA-PBE
State: relaxed

D(E_F) in states/eV/f.u.: 2.4
Raw formation energy in eV/atom: 0.437
Offset from the most stable computed form in eV/atom: 0.346
Volume in Å³ per atom: 23.24
E in eV per atom: -4.57

Structure (CIF):
```
data_ScP2PtCl
_chemical_formula_sum 'Sc1 P2 Pt1 Cl1'
_cell_length_a 5.011
_cell_length_b 5.011
_cell_length_c 4.628
_cell_angle_alpha 90.00
_cell_angle_beta 90.00
_cell_angle_gamma 90.00
_symmetry_space_group_name_H-M 'P 4/m m m'
_symmetry_Int_Tables_number 123
_symmetry_space_group_name_Hall '-P 4 2'
loop_
_atom_site_label
_atom_site_fract_x
_atom_site_fract_y
_atom_site_fract_z
Sc1 0.000 0.000 0.000
P1 0.000 0.500 0.000
Pt1 0.500 0.500 0.500
Cl1 0.000 0.000 0.500
```

***

Material: LaPr12Sn4N3
Method: DFT, GGA-PBE
State: relaxed

D(E_F) in states/eV/f.u.: 17.5
Raw formation energy in eV/atom: -0.535
Volume in Å³ per atom: 27.68
E in eV per atom: -5.70

Structure (CIF):
```
data_LaPr12Sn4N3
_chemical_formula_sum 'La2 Pr24 Sn8 N6'
_cell_length_a 10.345
_cell_length_b 10.345
_cell_length_c 10.345
_cell_angle_alpha 90.00
_cell_angle_beta 90.00
_cell_angle_gamma 90.00
_symmetry_space_group_name_H-M 'I m -3 m'
_symmetry_Int_Tables_number 229
_symmetry_space_group_name_Hall '-I 4 2 3'
loop_
_atom_site_label
_atom_site_fract_x
_atom_site_fract_y
_atom_site_fract_z
La1 0.000 0.000 0.000
Pr1 0.000 0.000 0.273
Pr2 0.000 0.250 0.500
Sn1 0.250 0.250 0.250
N1 0.000 0.000 0.500
```

***

Material: Ba3TaBi
Method: DFT, GGA-PBE
State: relaxed

Energy of formation from the pure elements in meV per atom: 610
D(E_F) in states/eV/f.u.: 6.2
Offset from the most stable computed form in eV/atom: 0.000
Volume in Å³ per atom: 43.40
E in eV per atom: -3.69

Structure (CIF):
```
data_Ba3TaBi
_chemical_formula_sum 'Ba3 Ta1 Bi1'
_cell_length_a 6.009
_cell_length_b 6.009
_cell_length_c 6.009
_cell_angle_alpha 90.00
_cell_angle_beta 90.00
_cell_angle_gamma 90.00
_symmetry_space_group_name_H-M 'P m -3 m'
_symmetry_Int_Tables_number 221
_symmetry_space_group_name_Hall '-P 4 2 3'
loop_
_atom_site_label
_atom_site_fract_x
_atom_site_fract_y
_atom_site_fract_z
Ba1 0.000 0.000 0.500
Ta1 0.000 0.000 0.000
Bi1 0.500 0.500 0.500
```

***

Material: NaMgSb2
Method: DFT, GGA-PBE
State: relaxed

D(E_F) in states/eV/f.u.: 0.7
Raw formation energy in eV/atom: -0.138
Volume in Å³ per atom: 33.78
E in eV per atom: -2.93

Structure (CIF):
```
data_NaMgSb2
_chemical_formula_sum 'Na4 Mg4 Sb8'
_cell_length_a 5.393
_cell_length_b 5.393
_cell_length_c 18.586
_cell_angle_alpha 90.00
_cell_angle_beta 90.00
_cell_angle_gamma 90.00
_symmetry_space_group_name_H-M 'I -4 2 d'
_symmetry_Int_Tables_number 122
_symmetry_space_group_name_Hall 'I -4 2bw'
loop_
_atom_site_label
_atom_site_fract_x
_atom_site_fract_y
_atom_site_fract_z
Na1 0.000 0.000 0.000
Mg1 0.000 0.000 0.500
Sb1 0.145 0.250 0.625
```

***

Material: YThMn
Method: DFT, GGA-PBE
State: relaxed

Energy of formation from the pure elements in meV per atom: 203
D(E_F) in states/eV/f.u.: 6.2
Offset from the most stable computed form in eV/atom: 0.051
Volume in Å³ per atom: 25.78
E in eV per atom: -7.48

Structure (CIF):
```
data_YThMn
_chemical_formula_sum 'Y2 Th2 Mn2'
_cell_length_a 3.579
_cell_length_b 3.579
_cell_length_c 12.072
_cell_angle_alpha 90.00
_cell_angle_beta 90.00
_cell_angle_gamma 90.00
_symmetry_space_group_name_H-M 'I 4 m m'
_symmetry_Int_Tables_number 107
_symmetry_space_group_name_Hall 'I 4 -2'
loop_
_atom_site_label
_atom_site_fract_x
_atom_site_fract_y
_atom_site_fract_z
Y1 0.000 0.000 0.000
Th1 0.000 0.000 0.288
Mn1 0.000 0.000 0.652
```